1.
Below is a relaxed SmDy2Ir crystal, with properties calculated at the PBE level.

Lattice parameters (Å, degrees): 3.7807 3.7807 31.6114 90.00 90.00 120.00
Space group R-3m (No. 166, hexagonal axes)
One atom of each set of equivalent atoms:
Sm (0.0000, 0.0000, 0.0000) [3 per cell]
Dy (0.0000, 0.0000, 0.1147) [6 per cell]
Ir (0.0000, 0.0000, 0.5000) [3 per cell]

Computed properties:
ΔE_f	-157	meV per atom
total magnetic moment	0.00	μB per formula unit
E above lowest polymorph	395.3	meV per atom
calculated density	8.5	g cm⁻³
E_tot	-5.85	eV/atom

---

2.
Below is a relaxed Sm2Dy5Ir4 crystal, with properties calculated at the PBE level.

Lattice parameters (Å, degrees): 24.322 3.686 6.877 90.00 94.08 90.00
Space group C2/m (No. 12)
One atom of each set of equivalent atoms:
Sm (0.087, 0.000, 0.158) [4 per cell]
Dy (0.000, 0.500, 0.500) [2 per cell]
Dy (0.133, 0.000, 0.693) [4 per cell]
Dy (0.233, 0.000, 0.209) [4 per cell]
Ir (0.027, 0.000, 0.799) [4 per cell]
Ir (0.168, 0.500, 0.987) [4 per cell]

Computed properties:
ΔE_f	-401	meV per atom
total magnetic moment	0.00	μB per formula unit
calculated density	10.2	g cm⁻³
E_tot	-6.57	eV/atom